[1]
{"formula": "ZnCoAgPt2", "functional": "PBE", "state": "optimized geometry", "lattice": [[4.566, 0.000, 0.000], [0.000, 4.566, 0.000], [0.000, 0.000, 4.739]], "species": ["Zn", "Co", "Ag", "Pt", "Pt"], "fractional_positions": [[0.000, 0.000, 0.000], [0.500, 0.500, 0.500], [0.500, 0.500, 0.000], [0.000, 0.500, 0.500], [0.500, 0.000, 0.500]], "n_ef_per_ev_atom": 0.928, "magmom_total_mub_per_fu": 2.351, "e_tot_ev_per_fu": -19.21}

=====

[2]
{"formula": "VAg2BIr", "functional": "PBE", "state": "optimized geometry", "lattice": [[5.090, 0.000, 0.000], [0.000, 5.090, 0.000], [0.000, 0.000, 3.874]], "species": ["V", "Ag", "Ag", "B", "Ir"], "fractional_positions": [[0.000, 0.000, 0.000], [0.000, 0.500, 0.500], [0.500, 0.000, 0.500], [0.500, 0.500, 0.000], [0.500, 0.500, 0.500]], "n_ef_per_ev_atom": 1.697, "magmom_total_mub_per_fu": 0.364, "e_tot_ev_per_fu": -23.77}

=====

[3]
{"formula": "Pr5Mg3", "functional": "PBE", "state": "optimized geometry", "lattice": [[3.870, 0.000, 0.000], [0.000, 3.870, 0.000], [0.000, 0.000, 16.976]], "species": ["Pr", "Pr", "Pr", "Pr", "Pr", "Mg", "Mg", "Mg"], "fractional_positions": [[0.000, 0.000, 0.000], [0.000, 0.000, 0.233], [0.000, 0.000, 0.767], [0.500, 0.500, 0.381], [0.500, 0.500, 0.619], [0.000, 0.000, 0.500], [0.500, 0.500, 0.116], [0.500, 0.500, 0.884]], "n_ef_per_ev_atom": 1.145, "magmom_total_mub_per_fu": 0.001, "e_tot_ev_per_fu": -29.25}